# 1
La2PrH: relaxed, GGA-PBE.

V, Å³ per atom: 27.742
Crystal system: trigonal
Offset from the most stable computed form, eV per formula unit: 0.00
DOS(E_F), states/eV per atom: 1.170

Cell: 9.313 9.313 9.313 Å, 23.30 23.30 23.30°
Element x y z (fractional)
La 0.000 0.000 0.000
La 0.224 0.224 0.224
Pr 0.447 0.447 0.447
H 0.613 0.613 0.613


# 2
ScTl2IO6: relaxed, GGA-PBE.

V, Å³ per atom: 15.304
Formation energy without anion corrections, kJ/mol of atoms: -116
Crystal system: trigonal

Cell: 10.274 10.274 10.274 Å, 34.24 34.24 34.24°
Element x y z (fractional)
Sc 0.100 0.100 0.100
Sc 0.900 0.900 0.900
Tl 0.229 0.229 0.229
Tl 0.368 0.368 0.368
Tl 0.632 0.632 0.632
Tl 0.771 0.771 0.771
I 0.000 0.000 0.000
I 0.500 0.500 0.500
O 0.100 0.100 0.675
O 0.100 0.675 0.100
O 0.235 0.688 0.688
O 0.312 0.312 0.765
O 0.312 0.765 0.312
O 0.325 0.900 0.900
O 0.675 0.100 0.100
O 0.688 0.235 0.688
O 0.688 0.688 0.235
O 0.765 0.312 0.312
O 0.900 0.325 0.900
O 0.900 0.900 0.325


# 3
K3I2O9: relaxed, GGA-PBE.

V, Å³ per atom: 17.594
Formation energy without anion corrections, kJ/mol of atoms: -72
Crystal system: trigonal
DOS(E_F), states/eV per atom: 0.386

Cell: 7.956 7.956 7.956 Å, 82.83 82.83 82.83°
Element x y z (fractional)
K 0.091 0.750 0.409
K 0.250 0.591 0.909
K 0.409 0.091 0.750
K 0.591 0.909 0.250
K 0.750 0.409 0.091
K 0.909 0.250 0.591
I 0.154 0.154 0.154
I 0.346 0.346 0.346
I 0.654 0.654 0.654
I 0.846 0.846 0.846
O 0.053 0.898 0.742
O 0.102 0.258 0.947
O 0.114 0.386 0.250
O 0.242 0.398 0.553
O 0.250 0.114 0.386
O 0.258 0.947 0.102
O 0.386 0.250 0.114
O 0.398 0.553 0.242
O 0.447 0.758 0.602
O 0.553 0.242 0.398
O 0.602 0.447 0.758
O 0.614 0.750 0.886
O 0.742 0.053 0.898
O 0.750 0.886 0.614
O 0.758 0.602 0.447
O 0.886 0.614 0.750
O 0.898 0.742 0.053
O 0.947 0.102 0.258


# 4
InRu: relaxed, GGA-PBE.

V, Å³ per atom: 34.000
Crystal system: cubic
Energy of formation from the pure elements, meV/atom: 1457
DOS(E_F), states/eV per atom: 1.700

Cell: 7.417 7.417 7.417 Å, 90.00 90.00 90.00°
Element x y z (fractional)
In 0.000 0.250 0.500
In 0.000 0.750 0.500
In 0.250 0.500 0.000
In 0.500 0.000 0.250
In 0.500 0.000 0.750
In 0.750 0.500 0.000
Ru 0.000 0.500 0.250
Ru 0.000 0.500 0.750
Ru 0.250 0.000 0.500
Ru 0.500 0.250 0.000
Ru 0.500 0.750 0.000
Ru 0.750 0.000 0.500


# 5
TbTl4Cl7: relaxed, GGA-PBE.

V, Å³ per atom: 34.678
Formation energy without anion corrections, kJ/mol of atoms: -138
Crystal system: monoclinic
DOS(E_F), states/eV per atom: 0.000

Cell: 11.218 11.218 7.640 Å, 107.70 107.70 27.11°
Element x y z (fractional)
Tb 0.000 0.000 0.000
Tl 0.304 0.304 0.753
Tl 0.414 0.414 0.368
Tl 0.586 0.586 0.632
Tl 0.696 0.696 0.247
Cl 0.074 0.074 0.348
Cl 0.107 0.107 0.901
Cl 0.278 0.278 0.336
Cl 0.500 0.500 0.000
Cl 0.722 0.722 0.664
Cl 0.893 0.893 0.099
Cl 0.926 0.926 0.652


# 6
Pr2Ho12Er: relaxed, GGA-PBE.

V, Å³ per atom: 32.094
Crystal system: monoclinic
Energy of formation from the pure elements, meV/atom: 116
DOS(E_F), states/eV per atom: 1.520

Cell: 6.620 6.620 24.394 Å, 92.38 92.38 115.39°
Element x y z (fractional)
Pr 0.065 0.065 0.272
Pr 0.433 0.433 0.728
Pr 0.567 0.567 0.272
Pr 0.935 0.935 0.728
Ho 0.048 0.548 0.200
Ho 0.081 0.580 0.331
Ho 0.139 0.638 0.555
Ho 0.143 0.143 0.572
Ho 0.219 0.219 0.866
Ho 0.234 0.734 0.927
Ho 0.266 0.766 0.073
Ho 0.281 0.281 0.135
Ho 0.356 0.356 0.429
Ho 0.362 0.861 0.445
Ho 0.420 0.919 0.669
Ho 0.452 0.952 0.800
Ho 0.548 0.048 0.200
Ho 0.580 0.081 0.331
Ho 0.638 0.139 0.555
Ho 0.644 0.644 0.571
Ho 0.719 0.719 0.865
Ho 0.734 0.234 0.927
Ho 0.766 0.266 0.073
Ho 0.781 0.781 0.134
Ho 0.857 0.857 0.428
Ho 0.861 0.362 0.445
Ho 0.919 0.420 0.669
Ho 0.952 0.452 0.800
Er 0.250 0.250 0.000
Er 0.750 0.750 0.000


# 7
SrTe2P2: relaxed, GGA-PBE.

V, Å³ per atom: 28.487
Formation energy without anion corrections, kJ/mol of atoms: -22
Crystal system: tetragonal
DOS(E_F), states/eV per atom: 0.464

Cell: 7.949 7.949 7.949 Å, 147.76 147.76 46.24°
Element x y z (fractional)
Sr 0.000 0.000 0.000
Te 0.250 0.750 0.500
Te 0.750 0.250 0.500
P 0.429 0.429 0.000
P 0.571 0.571 0.000


# 8
Y2AlGa2: relaxed, GGA-PBE.

V, Å³ per atom: 21.984
Crystal system: tetragonal
Energy of formation from the pure elements, meV/atom: -638
Offset from the most stable computed form, eV per formula unit: 0.00
DOS(E_F), states/eV per atom: 0.508

Cell: 7.014 7.014 4.468 Å, 90.00 90.00 90.00°
Element x y z (fractional)
Y 0.173 0.327 0.000
Y 0.327 0.827 0.000
Y 0.673 0.173 0.000
Y 0.827 0.673 0.000
Al 0.000 0.000 0.500
Al 0.500 0.500 0.500
Ga 0.130 0.630 0.500
Ga 0.370 0.130 0.500
Ga 0.630 0.870 0.500
Ga 0.870 0.370 0.500


Calculated spin magnetization in order - 0.000, 0.000, 0.081, 0.541, 0.000, 0.000, 0.000, 0.000 μB/atom